1.
Compound: IrRuPb2
Source: Alexandria via LeMat-Bulk
Functional: PBE
Structure: relaxed Values from VASP.

The calculation puts the energy above the most stable polymorph in this dataset at 0.176 eV/atom. Its symmetry is Cmmm (65). For the spin magnetization, the calculation gives 0.000 μB/cell. Its calculated volume is 19.09 Å³ per atom.

Cell and atoms, written as Quantum ESPRESSO input:
```
&SYSTEM
  ibrav = 0, nat = 4, ntyp = 3
/
ATOMIC_SPECIES
Ir 192.22 Ir.upf
Pb 207.20 Pb.upf
Ru 101.07 Ru.upf
ATOMIC_POSITIONS crystal
Ir 0.000 0.500 0.500
Pb 0.000 0.000 0.000
Pb 0.500 0.500 0.000
Ru 0.500 0.000 0.500
CELL_PARAMETERS angstrom
4.861 0.011 0.000
-0.548 4.830 0.000
0.000 0.000 3.251
```

2.
Compound: Tc2AsSe
Source: Alexandria via LeMat-Bulk
Functional: PBE
Structure: relaxed Values from VASP.

The calculation puts the energy above the most stable polymorph in this dataset at 0.085 eV/atom. Its symmetry is R3m (160). Its formation energy from raw total energies is -0.01 eV/atom. For the spin magnetization, the calculation gives 0.000 μB/cell. Its calculated volume is 19.25 Å³ per atom.

Cell and atoms, written as Quantum ESPRESSO input:
```
&SYSTEM
  ibrav = 0, nat = 4, ntyp = 3
/
ATOMIC_SPECIES
As 74.92 As.upf
Tc 98.00 Tc.upf
Se 78.96 Se.upf
ATOMIC_POSITIONS crystal
As 0.526 0.526 0.526
Tc 0.996 0.996 0.996
Tc 0.255 0.255 0.255
Se 0.723 0.723 0.723
CELL_PARAMETERS angstrom
-3.310 7.159 6.330
-2.727 5.028 8.340
-0.546 6.850 7.420
```